## Dy3ScIn3 (PBE-GGA)

Data for a relaxed structure of Dy3ScIn3.

abc: 5.4557 8.9259 8.9259
angles: 120.00 90.00 90.00
Element x y z (fractional)
In 0.2500 0.8128 0.7613
In 0.7500 0.0515 0.8128
In 0.7500 0.7613 0.9485
In 0.7500 0.1872 0.2387
In 0.2500 0.2387 0.0515
In 0.2500 0.9485 0.1872
Sc 0.2500 0.6667 0.3333
Sc 0.7500 0.3333 0.6667
Dy 0.7500 0.4587 0.0958
Dy 0.2500 0.3629 0.4587
Dy 0.7500 0.6371 0.5413
Dy 0.2500 0.5413 0.9042
Dy 0.7500 0.9042 0.3629
Dy 0.2500 0.0958 0.6371

Its space group is No. 176. The formation energy is -0.221 eV per atom. The value obtained for the magnetic moment is 0.00 μB/f.u.